Entry 1:
Entry from the Alexandria database: K2AsP at its PBEsol-relaxed geometry (SCAN).

* total magnetization: 0.00 μB per formula unit
* energy of formation from the pure elements: 120 meV per atom
* relative energy among the computed polymorphs: 0.602 eV/atom
* density of states at the Fermi level: 10.8 states/eV per cell

abc: 7.406 7.406 7.406
angles: 90.00 90.00 90.00
Space group F-43m (No. 216)
Symmetry-distinct sites (fractional):
K: 0.000 0.000 0.000 (multiplicity 4)
K: 0.250 0.250 0.250 (multiplicity 4)
As: 0.000 0.000 0.500 (multiplicity 4)
P: 0.250 0.250 0.750 (multiplicity 4)

---

Entry 2:
Entry from the Alexandria database: K2AsP at its PBEsol-relaxed geometry (SCAN).

* total magnetization: 0.00 μB per formula unit
* energy of formation from the pure elements: -92 meV per atom
* relative energy among the computed polymorphs: 0.390 eV/atom
* density of states at the Fermi level: 1.6 states/eV per cell

abc: 2.992 5.051 5.980
angles: 90.00 90.00 90.00
Space group Pmmm (No. 47)
Symmetry-distinct sites (fractional):
K: 0.000 0.000 0.246 (multiplicity 2)
As: 0.500 0.500 0.500 (multiplicity 1)
P: 0.500 0.500 0.000 (multiplicity 1)

---

Entry 3:
Entry from the Alexandria database: KAsP2 at its PBEsol-relaxed geometry (SCAN).

* total magnetization: 0.00 μB per formula unit
* energy of formation from the pure elements: 739 meV per atom
* density of states at the Fermi level: 6.7 states/eV per cell

abc: 2.9232 2.9232 29.9333
angles: 90.00 90.00 120.00
Space group R-3m (No. 166, hexagonal axes)
Symmetry-distinct sites (fractional):
K: 0.0000 0.0000 0.0000 (multiplicity 3)
As: 0.0000 0.0000 0.5000 (multiplicity 3)
P: 0.0000 0.0000 0.2446 (multiplicity 6)